Entry 1:
Crystalline AgIrOs at its relaxed geometry, computed with GGA-PBE.

abc: 6.3948 6.3948 6.3948
angles: 154.97 154.97 35.69
With the nearest neighbours (Å) after each atom.
Atoms (fractional coordinates):
Ag 0.0000 0.0000 0.0000  4 Ag 2.77, 4 Os 2.93, 4 Ir 2.94
Ir 0.3195 0.3195 0.0000  4 Os 2.61, 4 Ir 2.77
Os 0.6785 0.6785 0.0000  4 Ir 2.61, 4 Os 2.77

size of the total moment = 0.00 μB/atom
E_form = 0.350 eV/atom
excess energy over the best structure of this formula in the dataset = 10 kJ/mol of formula units

***

Entry 2:
Crystalline AgIr2Os at its relaxed geometry, computed with GGA-PBE.

abc: 9.2462 9.2462 9.2462
angles: 17.27 17.27 17.27
With the nearest neighbours (Å) after each atom.
Atoms (fractional coordinates):
Ag 0.0000 0.0000 0.0000  6 Ag 2.78, 6 Ir 2.90
Ir 0.2448 0.2448 0.2448  3 Os 2.67, 6 Ir 2.78, 3 Ag 2.90
Ir 0.7552 0.7552 0.7552  3 Os 2.67, 6 Ir 2.78, 3 Ag 2.90
Os 0.5000 0.5000 0.5000  6 Ir 2.67, 6 Os 2.78

size of the total moment = 0.00 μB/atom
E_form = 0.205 eV/atom
excess energy over the best structure of this formula in the dataset = 9 kJ/mol of formula units

***

Q: Among the records above, which one has the highest E_form?
A: AgIrOs